Record 1
LuMnHgAu: optimized geometry, PBE.

For the formation energy, the calculation gives -1.136 eV per formula unit. As for the total energy: -4.601 eV per atom. Its calculated density is 12.84 g cm⁻³. As for the total moment: 4.34 μB per formula unit.

It has space group F-43m (No. 216), with a = 6.8726 Å, b = 6.8726 Å, c = 6.8726 Å, α = 90.00°, β = 90.00° and γ = 90.00°. The asymmetric unit holds Lu at (0.0000, 0.0000, 0.0000), Mn at (0.0000, 0.0000, 0.5000), Hg at (0.2500, 0.2500, 0.2500) and Au at (0.2500, 0.2500, 0.7500).

***

Record 2
SrLi2Ge2: optimized geometry, PBE.

For the formation energy, the calculation gives -2.257 eV per formula unit. As for the total energy: -3.400 eV per atom. Its calculated density is 3.74 g cm⁻³. As for the energy above the lowest structure with this stoichiometry: 0.0000 eV/atom. As for the total moment: 0.00 μB per formula unit.

It has space group I4/mmm (No. 139), with a = 4.4008 Å, b = 4.4008 Å, c = 11.3101 Å, α = 90.00°, β = 90.00° and γ = 90.00°. The asymmetric unit holds Sr at (0.0000, 0.0000, 0.0000), Li at (0.0000, 0.5000, 0.2500) and Ge at (0.0000, 0.0000, 0.3922).

***

Record 3
TaCu2As: optimized geometry, PBE.

For the formation energy, the calculation gives 0.466 eV per formula unit. As for the total energy: -6.057 eV per atom. Its calculated density is 10.50 g cm⁻³. As for the total moment: 0.00 μB per formula unit.

It has space group C2/m (No. 12), with a = 5.1308 Å, b = 9.1685 Å, c = 2.7508 Å, α = 90.00°, β = 110.57° and γ = 90.00°. The asymmetric unit holds Ta at (0.0000, 0.0000, 0.0000), Cu at (0.2500, 0.2500, 0.5000) and As at (0.0000, 0.5000, 0.0000).

***

The lowest calculated density belongs to which entry? SrLi2Ge2